Material: NdTmMg2Au4
Method: DFT, PBE
State: relaxed

Results
DFT formation energy   -6.08 eV per formula unit
DOS at the Fermi energy   5.02 states/eV/cell
Crystal system   trigonal
SG   No. 166

abc: 4.910 4.910 8.668
angles: 73.55 73.55 60.00
Positions (direct):
1 Nd 0.000 0.000 0.000
2 Tm 0.500 0.500 0.500
3 Mg 0.752 0.752 0.744
4 Mg 0.248 0.248 0.256
5 Au 0.382 0.382 0.854
6 Au 0.872 0.872 0.385
7 Au 0.128 0.128 0.615
8 Au 0.618 0.618 0.146